A plane-wave DFT calculation with PBEsol was carried out for an optimized crystal structure of Cu2TePt.

The uncorrected formation energy is 0.050 eV per atom.

The structure belongs to space group Pmmm (No. 47); the cell edges are 3.908, 3.931 and 3.975 Å and the angles 90.00°, 90.00° and 90.00°. The inequivalent atoms are Cu at (0.000, 0.000, 0.000), Cu at (0.000, 0.500, 0.500), Te at (0.500, 0.000, 0.500) and Pt at (0.500, 0.500, 0.000).


A plane-wave DFT calculation with PBEsol was carried out for an optimized crystal structure of Li2CuCSO7.

The uncorrected formation energy is -1.488 eV per atom.

The structure belongs to space group P2_1/m (No. 11); the cell edges are 5.026, 6.251 and 8.520 Å and the angles 90.00°, 92.67° and 90.00°. The inequivalent atoms are Li at (0.200, 0.023, 0.296), Cu at (0.245, 0.750, 0.856), C at (0.296, 0.750, 0.555), S at (0.288, 0.250, 0.926), O at (0.086, 0.750, 0.643), O at (0.185, 0.062, 0.837), O at (0.200, 0.250, 0.089), O at (0.259, 0.750, 0.407), O at (0.413, 0.750, 0.068) and O at (0.475, 0.250, 0.372).


A plane-wave DFT calculation with PBEsol was carried out for an optimized crystal structure of CaMg4Al.

The formation energy is 6.8 kJ/mol of atoms.

The structure belongs to space group F-43m (No. 216); the cell edges are 8.355, 8.355 and 8.355 Å and the angles 90.00°, 90.00° and 90.00°. The inequivalent atoms are Ca at (0.000, 0.000, 0.000), Mg at (0.125, 0.125, 0.375) and Al at (0.250, 0.250, 0.750).